Record 1
4
Lattice="1.366 -2.294 0.000 1.366 2.294 0.000 0.000 0.000 7.824" Properties=species:S:1:pos:R:3 comment="Co2PIr, PBEsol geometry, DFT SCAN" magmom_total_mub_per_cell=3.36 crystal_system=orthorhombic formation_enthalpy_0k_ev_per_atom=0.2832 dft_energy_ev_per_cell=-115.0 pbc="T T T"
Co 0.000 0.000 0.000
Co 1.366 0.000 1.975
P 1.366 0.000 6.126
Ir 0.000 0.000 4.151

***

Record 2
8
Lattice="-2.514 2.514 5.107 2.514 -2.514 5.107 2.514 2.514 -5.107" Properties=species:S:1:pos:R:3 comment="CoP2Ir, PBEsol geometry, DFT SCAN" magmom_total_mub_per_cell=0.00 crystal_system=tetragonal formation_enthalpy_0k_ev_per_atom=-0.2803 dft_energy_ev_per_cell=-220.6 pbc="T T T"
Co 0.000 0.000 0.000
Co 0.000 2.514 2.554
P 3.772 1.146 -1.277
P 1.146 1.257 1.277
P -1.257 1.369 3.831
P 1.369 1.257 6.384
Ir 2.514 0.000 2.554
Ir 0.000 0.000 5.107

***

Record 3
4
Lattice="3.474 0.000 0.000 0.000 1.355 4.937 0.000 -1.355 4.937" Properties=species:S:1:pos:R:3 comment="Co2PIr, PBEsol geometry, DFT SCAN" magmom_total_mub_per_cell=2.40 crystal_system=orthorhombic formation_enthalpy_0k_ev_per_atom=-0.1261 dft_energy_ev_per_cell=-116.6 pbc="T T T"
Co 0.000 0.000 0.000
Co 1.737 0.000 3.599
P 1.737 0.000 5.721
Ir 0.000 0.000 7.269

***

Record 4
4
Lattice="1.347 0.777 7.537 -1.347 0.777 7.537 0.000 -1.555 7.537" Properties=species:S:1:pos:R:3 comment="Co2PIr, PBEsol geometry, DFT SCAN" magmom_total_mub_per_cell=3.01 crystal_system=trigonal formation_enthalpy_0k_ev_per_atom=0.0578 dft_energy_ev_per_cell=-115.9 pbc="T T T"
Co 0.000 0.000 0.000
Co 0.000 0.000 5.616
P 0.000 0.000 16.689
Ir 0.000 0.000 11.050

***

Record 5
3
Lattice="0.000 2.669 2.669 2.669 0.000 2.669 2.669 2.669 0.000" Properties=species:S:1:pos:R:3 comment="CoPIr, PBEsol geometry, DFT SCAN" magmom_total_mub_per_cell=0.00 crystal_system=cubic formation_enthalpy_0k_ev_per_atom=-0.4957 dft_energy_ev_per_cell=-100.3 pbc="T T T"
Co 0.000 0.000 0.000
P 4.003 4.003 4.003
Ir 2.669 2.669 2.669

***

Record 6
5
Lattice="4.190 0.000 0.000 0.000 4.190 0.000 0.000 0.000 4.190" Properties=species:S:1:pos:R:3 comment="CoP3Ir, PBEsol geometry, DFT SCAN" magmom_total_mub_per_cell=0.00 crystal_system=cubic formation_enthalpy_0k_ev_per_atom=0.8622 dft_energy_ev_per_cell=-115.3 pbc="T T T"
Co 0.000 0.000 0.000
P 0.000 0.000 2.095
P 0.000 2.095 0.000
P 2.095 0.000 0.000
Ir 2.095 2.095 2.095

***

Record 7
3
Lattice="3.803 0.000 0.000 -1.901 3.293 0.000 0.000 0.000 2.911" Properties=species:S:1:pos:R:3 comment="CoPIr, PBEsol geometry, DFT SCAN" magmom_total_mub_per_cell=0.88 crystal_system=trigonal formation_enthalpy_0k_ev_per_atom=-0.0393 dft_energy_ev_per_cell=-98.9 pbc="T T T"
Co 0.000 0.000 0.000
P 0.000 2.196 2.343
Ir 1.901 1.098 1.500

***

Record 8
4
Lattice="2.830 -3.062 0.000 2.830 3.062 0.000 0.000 0.000 2.826" Properties=species:S:1:pos:R:3 comment="CoP2Ir, PBEsol geometry, DFT SCAN" magmom_total_mub_per_cell=1.81 crystal_system=orthorhombic formation_enthalpy_0k_ev_per_atom=0.1774 dft_energy_ev_per_cell=-108.5 pbc="T T T"
Co 0.000 0.000 0.000
P 1.415 1.531 1.413
P 1.415 -1.531 1.413
Ir 2.830 0.000 0.000

***

Record 9
3
Lattice="-1.393 1.393 4.541 1.393 -1.393 4.541 1.393 1.393 -4.541" Properties=species:S:1:pos:R:3 comment="CoPIr, PBEsol geometry, DFT SCAN" magmom_total_mub_per_cell=1.00 crystal_system=tetragonal formation_enthalpy_0k_ev_per_atom=-0.0381 dft_energy_ev_per_cell=-98.9 pbc="T T T"
Co 0.000 0.000 0.000
P 0.000 0.000 3.406
Ir 0.000 0.000 6.470

***

Record 10
4
Lattice="0.000 2.845 2.845 2.845 0.000 2.845 2.845 2.845 0.000" Properties=species:S:1:pos:R:3 comment="Co2PIr, PBEsol geometry, DFT SCAN" magmom_total_mub_per_cell=3.92 crystal_system=cubic formation_enthalpy_0k_ev_per_atom=-0.0601 dft_energy_ev_per_cell=-116.3 pbc="T T T"
Co 0.000 0.000 0.000
Co 1.422 1.422 1.422
P 4.267 4.267 4.267
Ir 2.845 2.845 2.845

***

Record 11
5
Lattice="4.492 0.000 0.000 0.000 4.492 0.000 0.000 0.000 3.955" Properties=species:S:1:pos:R:3 comment="CoPIr2Pd, PBEsol geometry, DFT SCAN" magmom_total_mub_per_cell=3.60 crystal_system=tetragonal formation_enthalpy_0k_ev_per_atom=1.1974 dft_energy_ev_per_cell=-196.7 pbc="T T T"
Co 0.000 0.000 0.000
P 0.000 0.000 1.978
Ir 0.000 2.246 0.000
Ir 2.246 0.000 0.000
Pd 2.246 2.246 1.978

***

Record 12
5
Lattice="5.151 0.000 0.000 0.000 5.151 0.000 0.000 0.000 3.928" Properties=species:S:1:pos:R:3 comment="Y2CoPIr, PBEsol geometry, DFT SCAN" magmom_total_mub_per_cell=1.48 crystal_system=tetragonal formation_enthalpy_0k_ev_per_atom=-0.3441 dft_energy_ev_per_cell=-156.2 pbc="T T T"
Y 0.000 2.575 0.000
Y 2.575 0.000 0.000
Co 0.000 0.000 1.964
P 0.000 0.000 0.000
Ir 2.575 2.575 1.964